## Fe2AgI (PBEsol)

Data for a relaxed Fe2AgI crystal.

Values from the calculation:
The space-group type is Fm-3m, No. 225. The calculation puts the volume at 15.73 A^3/atom. The calculation puts the magnetization at 4.8 μB/cell. The final energy is -19.7 eV/cell. The uncorrected formation energy is 0.835 eV/atom. As for the crystal system: cubic.

Cell lengths 4.465, 4.465, 4.465 Å; angles 60.00, 60.00, 60.00 degrees
Positions (direct):
Fe: 0.750 0.750 0.750
Fe: 0.250 0.250 0.250
I: 0.500 0.500 0.500
Ag: 0.000 0.000 0.000

***

## FeAgIN2 (PBEsol)

Data for a relaxed FeAgIN2 crystal.

Values from the calculation:
As for the relative energy among the computed polymorphs: 1.081 eV/atom. The space-group type is P4/mmm, No. 123. The calculation puts the volume at 19.96 A^3/atom. The calculation puts the magnetization at 6.4 μB/cell. The final energy is -21.1 eV/cell. The uncorrected formation energy is 1.996 eV/atom. As for the crystal system: tetragonal.

Cell lengths 3.935, 3.935, 6.445 Å; angles 90.00, 90.00, 90.00 degrees
Positions (direct):
Fe: 0.500 0.500 0.500
I: 0.000 0.000 0.500
N: 0.500 0.000 0.000
N: 0.000 0.500 0.000
Ag: 0.000 0.000 0.000

***

## FeAgIN2 (PBEsol)

Data for a relaxed FeAgIN2 crystal.

Values from the calculation:
As for the relative energy among the computed polymorphs: 0.000 eV/atom. The space-group type is P4/mmm, No. 123. The calculation puts the volume at 15.41 A^3/atom. The calculation puts the magnetization at 0.0 μB/cell. The final energy is -26.5 eV/cell. The uncorrected formation energy is 0.915 eV/atom. As for the crystal system: tetragonal.

Cell lengths 3.698, 3.698, 5.634 Å; angles 90.00, 90.00, 90.00 degrees
Positions (direct):
Ag: 0.500 0.500 0.500
Fe: 0.000 0.000 0.000
N: 0.000 0.500 0.000
N: 0.500 0.000 0.000
I: 0.000 0.000 0.500

***

## FeAgSbI2 (PBEsol)

Data for a relaxed FeAgSbI2 crystal.

Values from the calculation:
The space-group type is P4/mmm, No. 123. The calculation puts the volume at 32.14 A^3/atom. The calculation puts the magnetization at 3.7 μB/cell. The final energy is -15.1 eV/cell. The uncorrected formation energy is 1.060 eV/atom. As for the crystal system: tetragonal.

Cell lengths 5.384, 5.463, 5.463 Å; angles 90.00, 90.00, 90.00 degrees
Positions (direct):
Sb: 0.500 0.000 0.000
Ag: 0.000 0.000 0.000
Fe: 0.500 0.500 0.500
I: 0.000 0.500 0.000
I: 0.000 0.000 0.500

***

## InFeAg (PBEsol)

Data for a relaxed InFeAg crystal.

Values from the calculation:
As for the relative energy among the computed polymorphs: 0.422 eV/atom. The space-group type is F-43m, No. 216. The calculation puts the volume at 19.65 A^3/atom. The calculation puts the magnetization at 2.7 μB/cell. The formation energy from the elements comes out at 0.69 eV/atom. The final energy is -13.2 eV/cell. As for the crystal system: cubic.

Cell lengths 4.368, 4.368, 4.368 Å; angles 60.00, 60.00, 60.00 degrees
Positions (direct):
Ag: 0.000 0.000 0.000
In: 0.250 0.250 0.250
Fe: 0.500 0.500 0.500

***

## InFeAg (PBEsol)

Data for a relaxed InFeAg crystal.

Values from the calculation:
As for the relative energy among the computed polymorphs: 0.000 eV/atom. The space-group type is I4mm, No. 107. The calculation puts the volume at 16.28 A^3/atom. The calculation puts the magnetization at 2.6 μB/cell. The formation energy from the elements comes out at 0.27 eV/atom. The final energy is -14.5 eV/cell. As for the crystal system: tetragonal.

Cell lengths 2.915, 2.915, 6.106 Å; angles 103.81, 103.81, 90.00 degrees
Positions (direct):
In: 0.675 0.675 0.351
Fe: 0.336 0.336 0.672
Ag: 0.989 0.989 0.977